The following is a DFT calculation (SCAN) of a crystal of YHgSbCl2 relaxed with PBEsol.

Structure (POSCAR):
```
YHgSbCl2
1.0
5.152 0.000 0.000
0.000 5.152 0.000
0.000 0.000 5.676
Cl Hg Y Sb
2 1 1 1
direct
0.000 0.500 0.000
0.500 0.000 0.000
0.000 0.000 0.500
0.500 0.500 0.500
0.000 0.000 0.000
```

Calculated values
SG	P4/mmm
final energy	-29.93	eV per atom
E_form (uncorrected)	-86	meV/atom



The following is a DFT calculation (SCAN) of a crystal of ScHg4Cl relaxed with PBEsol.

Structure (POSCAR):
```
ScHg4Cl
1.0
5.831 0.000 0.000
2.915 5.050 0.000
2.915 1.683 4.761
Sc Hg Cl
1 4 1
direct
0.750 0.750 0.750
0.875 0.375 0.375
0.375 0.375 0.875
0.375 0.375 0.375
0.375 0.875 0.375
0.000 0.000 0.000
```

Calculated values
SG	F-43m
final energy	-49.24	eV per atom
E_form (uncorrected)	-90	meV/atom



The following is a DFT calculation (SCAN) of a crystal of HgSe2Cl relaxed with PBEsol.

Structure (POSCAR):
```
HgSe2Cl
1.0
-0.377 -3.541 -1.475
3.293 0.784 2.313
-4.962 -1.626 5.170
Cl Se Hg
1 2 1
direct
0.447 0.895 0.457
0.062 0.124 0.998
0.259 0.519 0.796
0.731 0.462 0.249
```

Calculated values
SG	Cm
final energy	-29.15	eV per atom
E_form (uncorrected)	-77	meV/atom



The following is a DFT calculation (SCAN) of a crystal of HgSe2Cl relaxed with PBEsol.

Structure (POSCAR):
```
HgSe2Cl
1.0
-0.307 -2.125 3.115
3.372 1.263 1.160
-4.540 5.534 1.045
Se Hg Cl
2 1 1
direct
0.500 0.000 0.500
0.000 0.500 0.500
0.000 0.000 0.000
0.500 0.500 0.000
```

Calculated values
SG	Fmmm
final energy	-29.06	eV per atom
E_form (uncorrected)	18	meV/atom



The following is a DFT calculation (SCAN) of a crystal of HgSeCl4 relaxed with PBEsol.

Structure (POSCAR):
```
HgSeCl4
1.0
-0.503 -5.500 1.396
2.899 -2.089 4.436
-2.757 -1.491 4.757
Se Cl Hg
1 4 1
direct
0.000 0.000 0.000
0.375 0.375 0.375
0.375 0.876 0.375
0.876 0.375 0.375
0.375 0.375 0.876
0.750 0.750 0.750
```

Calculated values
SG	F-43m
final energy	-19.30	eV per atom
E_form (uncorrected)	726	meV/atom



The following is a DFT calculation (SCAN) of a crystal of Hg2SeCl relaxed with PBEsol.

Structure (POSCAR):
```
Hg2SeCl
1.0
3.001 0.000 0.000
0.000 4.875 0.000
0.000 0.000 6.087
Hg Se Cl
2 1 1
direct
0.500 0.500 0.000
0.000 0.000 0.000
0.500 0.000 0.500
0.000 0.500 0.500
```

Calculated values
SG	Pmmm
final energy	-40.90	eV per atom
E_form (uncorrected)	193	meV/atom



The following is a DFT calculation (SCAN) of a crystal of SiHg2Cl relaxed with PBEsol.

Structure (POSCAR):
```
SiHg2Cl
1.0
-0.514 2.995 -0.614
-2.574 -1.159 4.327
6.266 1.323 1.210
Hg Si Cl
2 1 1
direct
0.047 0.094 0.010
0.840 0.680 0.238
0.413 0.827 0.625
0.199 0.398 0.627
```

Calculated values
SG	Cm
final energy	-38.61	eV per atom
E_form (uncorrected)	-26	meV/atom



The following is a DFT calculation (SCAN) of a crystal of Si2HgCl relaxed with PBEsol.

Structure (POSCAR):
```
Si2HgCl
1.0
-1.779 0.657 2.105
-0.048 -4.505 1.365
4.402 0.986 3.412
Si Cl Hg
2 1 1
direct
0.000 0.000 0.237
0.000 0.000 0.763
0.500 0.500 0.000
0.500 0.500 0.500
```

Calculated values
SG	Pmmm
final energy	-23.39	eV per atom
E_form (uncorrected)	655	meV/atom



The following is a DFT calculation (SCAN) of a crystal of Si2HgCl relaxed with PBEsol.

Structure (POSCAR):
```
Si2HgCl
1.0
5.570 0.000 0.000
0.000 5.570 0.000
-2.785 -2.785 6.528
Hg Si Cl
2 4 2
direct
0.000 0.000 0.000
0.250 0.750 0.500
0.358 0.875 0.250
0.892 0.375 0.250
0.125 0.108 0.750
0.625 0.642 0.750
0.750 0.250 0.500
0.500 0.500 0.000
```

Calculated values
SG	I-42d
final energy	-23.36	eV per atom
E_form (uncorrected)	681	meV/atom



The following is a DFT calculation (SCAN) of a crystal of SiHg4Cl relaxed with PBEsol.

Structure (POSCAR):
```
SiHg4Cl
1.0
5.799 0.000 0.000
2.900 5.022 0.000
2.900 1.674 4.735
Cl Hg Si
1 4 1
direct
0.000 0.000 0.000
0.375 0.375 0.875
0.375 0.375 0.375
0.875 0.375 0.375
0.375 0.875 0.375
0.750 0.750 0.750
```

Calculated values
SG	F-43m
final energy	-48.07	eV per atom
E_form (uncorrected)	369	meV/atom



The following is a DFT calculation (SCAN) of a crystal of SiHg2Cl relaxed with PBEsol.

Structure (POSCAR):
```
SiHg2Cl
1.0
-0.478 -1.668 2.595
-2.895 -2.240 -1.974
6.915 -2.900 -2.469
Hg Cl Si
2 1 1
direct
0.976 0.976 0.951
0.824 0.324 0.647
0.164 0.664 0.327
0.537 0.537 0.075
```

Calculated values
SG	Imm2
final energy	-38.49	eV per atom
E_form (uncorrected)	94	meV/atom



The following is a DFT calculation (SCAN) of a crystal of SiHg2Cl relaxed with PBEsol.

Structure (POSCAR):
```
SiHg2Cl
1.0
3.103 0.000 0.000
0.000 4.762 -0.106
0.000 -2.264 6.286
Cl Hg Si
1 2 1
direct
0.500 0.500 0.500
0.000 0.817 0.132
0.000 0.183 0.868
0.500 0.000 0.500
```

Calculated values
SG	P2/m
final energy	-38.57	eV per atom
E_form (uncorrected)	8	meV/atom



The following is a DFT calculation (SCAN) of a crystal of Sr3HgCl relaxed with PBEsol.

Structure (POSCAR):
```
Sr3HgCl
1.0
5.616 0.000 0.000
0.000 5.616 0.000
0.000 0.000 5.616
Cl Sr Hg
1 3 1
direct
0.000 0.000 0.000
0.000 0.000 0.500
0.500 0.000 0.000
0.000 0.500 0.000
0.500 0.500 0.500
```

Calculated values
SG	Pm-3m
final energy	-29.35	eV per atom
E_form (uncorrected)	-751	meV/atom



The following is a DFT calculation (SCAN) of a crystal of Sr2HgCl relaxed with PBEsol.

Structure (POSCAR):
```
Sr2HgCl
1.0
-2.313 0.428 -5.123
-3.897 -3.723 -1.653
-5.378 1.602 -0.540
Sr Hg Cl
2 1 1
direct
0.000 0.000 0.000
0.750 0.750 0.750
0.250 0.250 0.250
0.500 0.500 0.500
```

Calculated values
SG	F-43m
final energy	-30.62	eV per atom
E_form (uncorrected)	-444	meV/atom



The following is a DFT calculation (SCAN) of a crystal of Sr2HgCl relaxed with PBEsol.

Structure (POSCAR):
```
Sr2HgCl
1.0
5.559 0.000 0.000
2.780 4.815 0.000
2.780 1.605 4.539
Cl Sr Hg
1 2 1
direct
0.000 0.000 0.000
0.750 0.750 0.750
0.250 0.250 0.250
0.500 0.500 0.500
```

Calculated values
SG	Fm-3m
final energy	-31.21	eV per atom
E_form (uncorrected)	-1034	meV/atom



The following is a DFT calculation (SCAN) of a crystal of Sr2HgCl relaxed with PBEsol.

Structure (POSCAR):
```
Sr2HgCl
1.0
4.444 0.000 0.000
0.000 4.444 0.000
0.000 0.000 6.501
Cl Hg Sr
1 1 2
direct
0.000 0.000 0.000
0.500 0.500 0.500
0.500 0.500 0.000
0.000 0.000 0.500
```

Calculated values
SG	P4/mmm
final energy	-31.47	eV per atom
E_form (uncorrected)	-1297	meV/atom



The following is a DFT calculation (SCAN) of a crystal of Ta2HgCl relaxed with PBEsol.

Structure (POSCAR):
```
Ta2HgCl
1.0
-0.281 -0.332 2.853
-0.527 -2.812 -0.379
9.486 -1.875 0.717
Ta Hg Cl
2 1 1
direct
0.500 0.500 0.254
0.000 0.000 0.027
0.500 0.500 0.794
0.000 0.000 0.425
```

Calculated values
SG	P4mm
final energy	-52.34	eV per atom
E_form (uncorrected)	-15	meV/atom



The following is a DFT calculation (SCAN) of a crystal of TcHgCl relaxed with PBEsol.

Structure (POSCAR):
```
TcHgCl
1.0
-2.986 0.501 0.854
-0.635 -4.334 0.321
1.381 2.282 3.489
Hg Tc Cl
1 1 1
direct
0.000 0.333 0.667
0.500 0.667 0.333
0.500 0.000 0.000
```

Calculated values
SG	P-6m2
final energy	-36.38	eV per atom
E_form (uncorrected)	686	meV/atom



The following is a DFT calculation (SCAN) of a crystal of Zr2TcHgCl relaxed with PBEsol.

Structure (POSCAR):
```
Zr2TcHgCl
1.0
-0.142 -0.778 4.894
-1.165 -5.053 -0.837
5.120 -1.174 -0.039
Cl Tc Hg Zr
1 1 1 2
direct
0.500 0.500 0.500
0.500 0.000 0.000
0.000 0.000 0.000
0.000 0.000 0.500
0.000 0.500 0.000
```

Calculated values
SG	P4/mmm
final energy	-33.34	eV per atom
E_form (uncorrected)	1179	meV/atom



The following is a DFT calculation (SCAN) of a crystal of HgTe2Cl relaxed with PBEsol.

Structure (POSCAR):
```
HgTe2Cl
1.0
3.141 0.000 0.000
0.000 3.141 0.000
0.000 0.000 9.871
Te Cl Hg
2 1 1
direct
0.000 0.000 0.230
0.000 0.000 0.770
0.500 0.500 0.000
0.500 0.500 0.500
```

Calculated values
SG	P4/mmm
final energy	-37.46	eV per atom
E_form (uncorrected)	200	meV/atom